## PuThTePb (PBE)

Data for a relaxed PuThTePb crystal.

Structure (POSCAR):
```
PuThTePb
1.0
0.000 3.868 3.868
3.868 0.000 3.868
3.868 3.868 0.000
Pu Th Te Pb
1 1 1 1
Direct
0.000 0.000 0.000
0.500 0.500 0.500
0.750 0.750 0.750
0.250 0.250 0.250
```

## Properties
M_tot = 5.98 μB/f.u.
uncorrected formation energy = -2.0 eV per formula unit
electronic total energy = -30.6 eV for the cell shown
calculated volume = 116 Å³/cell